[1]
# LaBe2Ru2, optimized geometry, DFT PBE
# M_tot   0.00 Bohr magnetons per cell
# DOS(E_F)   1.058 states/eV per atom
# Final energy   -63.0 eV/cell
data_LaBe2Ru2
_cell_length_a 4.117
_cell_length_b 4.117
_cell_length_c 9.443
_cell_angle_alpha 90.00
_cell_angle_beta 90.00
_cell_angle_gamma 90.00
_symmetry_space_group_name_H-M 'I 4/m m m'
_symmetry_Int_Tables_number 139
_symmetry_space_group_name_Hall '-I 4 2'
loop_
_atom_site_label
_atom_site_type_symbol
_atom_site_fract_x
_atom_site_fract_y
_atom_site_fract_z
La1 La 0.000 0.000 0.000
Be1 Be 0.000 0.500 0.250
Ru1 Ru 0.000 0.000 0.369

[2]
# LaBeRu2, optimized geometry, DFT PBE
# M_tot   0.00 Bohr magnetons per cell
# DOS(E_F)   0.688 states/eV per atom
# Final energy   -105.9 eV/cell
data_LaBeRu2
_cell_length_a 4.649
_cell_length_b 4.649
_cell_length_c 15.685
_cell_angle_alpha 90.00
_cell_angle_beta 90.00
_cell_angle_gamma 90.00
_symmetry_space_group_name_H-M 'I -4 2 d'
_symmetry_Int_Tables_number 122
_symmetry_space_group_name_Hall 'I -4 2bw'
loop_
_atom_site_label
_atom_site_type_symbol
_atom_site_fract_x
_atom_site_fract_y
_atom_site_fract_z
La1 La 0.000 0.000 0.000
Be1 Be 0.000 0.000 0.500
Ru1 Ru 0.034 0.250 0.625

[3]
# LaBe2Ru, optimized geometry, DFT PBE
# M_tot   0.01 Bohr magnetons per cell
# DOS(E_F)   1.177 states/eV per atom
# Final energy   -21.9 eV/cell
data_LaBe2Ru
_cell_length_a 3.088
_cell_length_b 3.088
_cell_length_c 6.497
_cell_angle_alpha 90.00
_cell_angle_beta 90.00
_cell_angle_gamma 90.00
_symmetry_space_group_name_H-M 'P 4/m m m'
_symmetry_Int_Tables_number 123
_symmetry_space_group_name_Hall '-P 4 2'
loop_
_atom_site_label
_atom_site_type_symbol
_atom_site_fract_x
_atom_site_fract_y
_atom_site_fract_z
La1 La 0.000 0.000 0.000
Be1 Be 0.500 0.500 0.342
Ru1 Ru 0.000 0.000 0.500

[4]
# LaBe4Ru, optimized geometry, DFT PBE
# M_tot   0.00 Bohr magnetons per cell
# DOS(E_F)   0.873 states/eV per atom
# Final energy   -114.6 eV/cell
data_LaBe4Ru
_cell_length_a 6.813
_cell_length_b 6.813
_cell_length_c 6.813
_cell_angle_alpha 90.00
_cell_angle_beta 90.00
_cell_angle_gamma 90.00
_symmetry_space_group_name_H-M 'F -4 3 m'
_symmetry_Int_Tables_number 216
_symmetry_space_group_name_Hall 'F -4 2 3'
loop_
_atom_site_label
_atom_site_type_symbol
_atom_site_fract_x
_atom_site_fract_y
_atom_site_fract_z
La1 La 0.000 0.000 0.000
Be1 Be 0.120 0.120 0.620
Ru1 Ru 0.250 0.250 0.250

[5]
# LaBeRu2, optimized geometry, DFT PBE
# M_tot   0.00 Bohr magnetons per cell
# DOS(E_F)   1.006 states/eV per atom
# Final energy   -26.9 eV/cell
data_LaBeRu2
_cell_length_a 3.070
_cell_length_b 4.331
_cell_length_c 5.399
_cell_angle_alpha 90.00
_cell_angle_beta 104.79
_cell_angle_gamma 90.00
_symmetry_space_group_name_H-M 'P 1 m 1'
_symmetry_Int_Tables_number 6
loop_
_symmetry_equiv_pos_as_xyz
'x,y,z'
'x,-y,z'
loop_
_atom_site_label
_atom_site_type_symbol
_atom_site_fract_x
_atom_site_fract_y
_atom_site_fract_z
La1 La 0.000 0.000 0.000
Be1 Be 0.374 0.500 0.699
Ru1 Ru 0.316 0.000 0.509
Ru2 Ru 0.735 0.500 0.380

[6]
# LaBe2Ru, optimized geometry, DFT PBE
# M_tot   0.00 Bohr magnetons per cell
# DOS(E_F)   0.564 states/eV per atom
# Final energy   -86.5 eV/cell
data_LaBe2Ru
_cell_length_a 4.291
_cell_length_b 4.291
_cell_length_c 16.059
_cell_angle_alpha 90.00
_cell_angle_beta 90.00
_cell_angle_gamma 90.00
_symmetry_space_group_name_H-M 'I 41/a m d'
_symmetry_Int_Tables_number 141
loop_
_symmetry_equiv_pos_as_xyz
'x,y,z'
'-x,-y,-z'
'-y+1/4,x+3/4,z+1/4'
'y+1/4,-x+3/4,-z+1/4'
'-x+1/2,-y,z+1/2'
'x+1/2,y,-z+1/2'
'y+1/4,-x+1/4,z+3/4'
'-y+1/4,x+1/4,-z+3/4'
'x,-y,-z'
'-x,y,z'
'-y+1/4,-x+1/4,-z+3/4'
'y+1/4,x+1/4,z+3/4'
'-x+1/2,y,-z+1/2'
'x+1/2,-y,z+1/2'
'y+1/4,x+3/4,-z+1/4'
'-y+1/4,-x+3/4,z+1/4'
'x+1/2,y+1/2,z+1/2'
'-x+1/2,-y+1/2,-z+1/2'
'-y+3/4,x+1/4,z+3/4'
'y+3/4,-x+1/4,-z+3/4'
'-x,-y+1/2,z'
'x,y+1/2,-z'
'y+3/4,-x+3/4,z+1/4'
'-y+3/4,x+3/4,-z+1/4'
'x+1/2,-y+1/2,-z+1/2'
'-x+1/2,y+1/2,z+1/2'
'-y+3/4,-x+3/4,-z+1/4'
'y+3/4,x+3/4,z+1/4'
'-x,y+1/2,-z'
'x,-y+1/2,z'
'y+3/4,x+1/4,-z+3/4'
'-y+3/4,-x+1/4,z+3/4'
loop_
_atom_site_label
_atom_site_type_symbol
_atom_site_fract_x
_atom_site_fract_y
_atom_site_fract_z
La1 La 0.000 0.250 0.375
Be1 Be 0.000 0.000 0.000
Ru1 Ru 0.000 0.250 0.875